# ScAuNO GGA-PBE relaxed
data_ScAuNO
_cell_length_a 4.700
_cell_length_b 4.700
_cell_length_c 4.390
_cell_angle_alpha 90.00
_cell_angle_beta 90.00
_cell_angle_gamma 90.00
_symmetry_space_group_name_H-M 'P 1'
_symmetry_Int_Tables_number 1
_symmetry_space_group_name_Hall 'P 1'
loop_
_atom_site_label
_atom_site_type_symbol
_atom_site_fract_x
_atom_site_fract_y
_atom_site_fract_z
Sc1 Sc 0.500 0.000 0.500
Sc2 Sc 0.000 0.500 0.500
O1 O 0.000 0.500 0.000
O2 O 0.500 0.000 0.000
Au1 Au 0.500 0.500 0.000
Au2 Au 0.000 0.000 0.000
N1 N 0.000 0.000 0.499
N2 N 0.500 0.500 0.501
# * total energy: -0.2411 hartree per atom
# * polymorph energy (0 for the lowest one): 250 meV/atom
# * space-group type: P4/mmm (123)
# * total moment: 0.000 μB/atom



# ScAuNO GGA-PBE relaxed
data_ScAuNO
_cell_length_a 3.888
_cell_length_b 3.888
_cell_length_c 6.844
_cell_angle_alpha 90.00
_cell_angle_beta 90.00
_cell_angle_gamma 90.00
_symmetry_space_group_name_H-M 'P 1'
_symmetry_Int_Tables_number 1
_symmetry_space_group_name_Hall 'P 1'
loop_
_atom_site_label
_atom_site_type_symbol
_atom_site_fract_x
_atom_site_fract_y
_atom_site_fract_z
Au1 Au 0.000 0.000 0.500
Au2 Au 0.500 0.500 0.500
Sc1 Sc 0.500 0.000 0.881
Sc2 Sc 0.000 0.500 0.119
N1 N 0.500 0.000 0.299
N2 N 0.000 0.500 0.701
O1 O 0.500 0.500 0.000
O2 O 0.000 0.000 0.000
# * total energy: -0.2364 hartree per atom
# * polymorph energy (0 for the lowest one): 378 meV/atom
# * space-group type: P4/nmm (129)
# * total moment: 0.273 μB/atom



# SnAuNO GGA-PBE relaxed
data_SnAuNO
_cell_length_a 5.329
_cell_length_b 7.785
_cell_length_c 5.209
_cell_angle_alpha 90.00
_cell_angle_beta 90.00
_cell_angle_gamma 90.00
_symmetry_space_group_name_H-M 'P 1'
_symmetry_Int_Tables_number 1
_symmetry_space_group_name_Hall 'P 1'
loop_
_atom_site_label
_atom_site_type_symbol
_atom_site_fract_x
_atom_site_fract_y
_atom_site_fract_z
O1 O 0.309 0.551 0.095
O2 O 0.809 0.449 0.095
O3 O 0.691 0.449 0.595
O4 O 0.191 0.551 0.595
N1 N 0.131 0.202 0.723
N2 N 0.369 0.202 0.223
N3 N 0.869 0.798 0.223
N4 N 0.631 0.798 0.723
Sn1 Sn 0.531 0.657 0.389
Sn2 Sn 0.469 0.343 0.889
Sn3 Sn 0.969 0.657 0.889
Sn4 Sn 0.031 0.343 0.389
Au1 Au 0.083 0.937 0.495
Au2 Au 0.583 0.063 0.495
Au3 Au 0.417 0.937 0.995
Au4 Au 0.917 0.063 0.995
# * total energy: -0.1864 hartree per atom
# * polymorph energy (0 for the lowest one): 273 meV/atom
# * space-group type: Pca2_1 (29)



# SnAuNO GGA-PBE relaxed
data_SnAuNO
_cell_length_a 4.123
_cell_length_b 4.123
_cell_length_c 8.612
_cell_angle_alpha 90.00
_cell_angle_beta 90.00
_cell_angle_gamma 90.00
_symmetry_space_group_name_H-M 'P 1'
_symmetry_Int_Tables_number 1
_symmetry_space_group_name_Hall 'P 1'
loop_
_atom_site_label
_atom_site_type_symbol
_atom_site_fract_x
_atom_site_fract_y
_atom_site_fract_z
Au1 Au 0.500 0.500 0.500
Au2 Au 0.000 0.000 0.500
Sn1 Sn 0.000 0.500 0.123
Sn2 Sn 0.500 0.000 0.877
N1 N 0.500 0.000 0.436
N2 N 0.000 0.500 0.564
O1 O 0.500 0.500 0.000
O2 O 0.000 0.000 0.000
# * total energy: -0.1786 hartree per atom
# * polymorph energy (0 for the lowest one): 483 meV/atom
# * space-group type: P4/nmm (129)